(1)
VASP calculation (PBE) on a relaxed structure of ScZnOs2. Values from VASP.

Values from the calculation:
- Formation energy: 61 kJ/mol of formula units
- Calculated volume: 62 Å³ per cell
- DOS at the Fermi energy: 4.1 states/eV per cell
- Raw total energy: -29.4 eV per cell

Geometry as Quantum ESPRESSO input:
```
&SYSTEM
  ibrav = 0, nat = 4, ntyp = 3
/
ATOMIC_SPECIES
Os 190.23 Os.upf
Sc 44.96 Sc.upf
Zn 65.41 Zn.upf
CELL_PARAMETERS angstrom
4.683 0.037 0.000
-1.514 4.431 0.000
0.000 0.000 2.984
ATOMIC_POSITIONS angstrom
Os 0.000 0.000 0.000
Os 1.584 2.234 0.000
Sc 2.341 0.019 1.492
Zn -0.757 2.216 1.492
```


(2)
VASP calculation (PBE) on a relaxed structure of As2PRh. Values from VASP.

Values from the calculation:
- Formation energy: -5 kJ/mol of formula units
- Calculated volume: 67 Å³ per cell
- DOS at the Fermi energy: 2.2 states/eV per cell
- Raw total energy: -22.1 eV per cell

Geometry as Quantum ESPRESSO input:
```
&SYSTEM
  ibrav = 0, nat = 4, ntyp = 3
/
ATOMIC_SPECIES
As 74.92 As.upf
P 30.97 P.upf
Rh 102.91 Rh.upf
CELL_PARAMETERS angstrom
3.403 -0.481 0.418
2.102 2.720 0.418
1.005 0.409 6.637
ATOMIC_POSITIONS angstrom
As 1.011 0.411 6.611
As 3.249 1.321 3.763
P 4.882 1.986 5.605
Rh 1.627 0.662 1.868
```


(3)
VASP calculation (PBE) on a relaxed structure of La4AlSeBr2. Values from VASP.

Values from the calculation:
- Calculated volume: 243 Å³ per cell
- DOS at the Fermi energy: 6.0 states/eV per cell
- Formation energy from raw total energies: -1.231 eV per atom
- Raw total energy: -40.1 eV per cell

Geometry as Quantum ESPRESSO input:
```
&SYSTEM
  ibrav = 0, nat = 8, ntyp = 4
/
ATOMIC_SPECIES
La 138.91 La.upf
Al 26.98 Al.upf
Se 78.96 Se.upf
Br 79.90 Br.upf
CELL_PARAMETERS angstrom
4.415 0.000 0.000
0.000 7.721 -0.165
0.000 2.702 7.072
ATOMIC_POSITIONS angstrom
La 0.000 7.687 5.205
La 4.415 2.736 1.702
La 2.208 6.305 1.711
La 2.208 4.118 5.196
Al 2.208 6.562 6.990
Se 0.000 5.211 3.454
Br 0.000 2.702 7.072
Br 2.208 1.351 3.536
```


(4)
VASP calculation (PBE) on a relaxed structure of PmSm7Tm4. Values from VASP.

Values from the calculation:
- Formation energy: 248 kJ/mol of formula units
- Calculated volume: 399 Å³ per cell
- DOS at the Fermi energy: 19.4 states/eV per cell
- Raw total energy: -53.1 eV per cell

Geometry as Quantum ESPRESSO input:
```
&SYSTEM
  ibrav = 0, nat = 12, ntyp = 3
/
ATOMIC_SPECIES
Pm 145.00 Pm.upf
Sm 150.36 Sm.upf
Tm 168.93 Tm.upf
CELL_PARAMETERS angstrom
5.939 0.000 0.000
2.969 9.008 1.757
2.969 1.806 7.805
ATOMIC_POSITIONS angstrom
Pm 0.000 0.000 0.000
Sm 8.908 8.963 5.814
Sm 2.969 1.851 3.749
Sm 2.969 5.434 3.141
Sm 8.908 5.380 6.421
Sm 5.939 8.289 7.683
Sm 2.969 0.000 0.000
Sm 5.939 2.525 1.880
Tm 5.939 3.720 4.887
Tm 5.939 7.095 4.675
Tm 5.939 5.666 1.417
Tm 5.939 5.148 8.145
```


(5)
VASP calculation (PBE) on a relaxed structure of Y2Ho6Tm5. Values from VASP.

Values from the calculation:
- Formation energy: 126 kJ/mol of formula units
- Calculated volume: 817 Å³ per cell
- DOS at the Fermi energy: 33.4 states/eV per cell
- Raw total energy: -122.9 eV per cell

Geometry as Quantum ESPRESSO input:
```
&SYSTEM
  ibrav = 0, nat = 26, ntyp = 3
/
ATOMIC_SPECIES
Y 88.91 Y.upf
Ho 164.93 Ho.upf
Tm 168.93 Tm.upf
CELL_PARAMETERS angstrom
-2.297 -2.294 -1.424
5.847 0.334 -9.971
11.360 -15.190 6.153
ATOMIC_POSITIONS angstrom
Y 5.249 -4.273 -1.582
Y 11.958 -10.583 -2.235
Y 7.294 -2.930 -7.044
Y 9.913 -11.926 3.227
Ho 4.661 -5.552 1.428
Ho 12.546 -9.305 -5.246
Ho 4.919 -1.821 -5.001
Ho 12.288 -13.036 1.184
Ho 2.260 -3.035 -3.167
Ho 12.651 -14.115 -2.074
Ho 7.876 -6.469 -6.694
Ho 7.035 -10.682 1.453
Ho 8.032 -6.189 -2.983
Ho 9.175 -8.667 -0.834
Ho 1.253 -1.200 -0.087
Ho 15.955 -13.656 -3.731
Tm 5.720 -7.876 -0.949
Tm 9.190 -9.275 -4.292
Tm 4.110 -1.646 -8.391
Tm 10.801 -15.505 3.149
Tm 5.457 -5.125 -4.957
Tm 9.453 -12.026 -0.284
Tm 1.966 -4.534 -0.279
Tm 12.944 -12.617 -4.963
Tm 1.775 -0.980 -5.697
Tm 4.531 -8.742 2.365
```


(6)
VASP calculation (PBE) on a relaxed structure of InAg6Sn3. Values from VASP.

Values from the calculation:
- Formation energy: 64 kJ/mol of formula units
- Calculated volume: 435 Å³ per cell
- DOS at the Fermi energy: 6.6 states/eV per cell
- Raw total energy: -62.4 eV per cell

Geometry as Quantum ESPRESSO input:
```
&SYSTEM
  ibrav = 0, nat = 20, ntyp = 3
/
ATOMIC_SPECIES
In 114.82 In.upf
Ag 107.87 Ag.upf
Sn 118.71 Sn.upf
CELL_PARAMETERS angstrom
-5.502 5.308 2.747
-4.057 -5.712 2.910
0.814 3.211 7.437
ATOMIC_POSITIONS angstrom
In -4.189 4.920 6.126
In -3.475 -0.591 6.193
Ag -3.948 3.561 3.530
Ag -6.496 3.708 10.154
Ag -0.987 0.255 5.086
Ag -6.134 -0.004 7.289
Ag -0.736 1.425 7.783
Ag -5.529 2.784 7.571
Ag -5.215 -2.790 6.957
Ag -8.447 0.766 5.626
Ag -3.028 2.225 6.105
Ag -8.175 1.965 8.308
Ag -1.059 0.774 2.087
Ag -3.607 0.921 8.711
Sn -5.610 1.540 4.783
Sn -8.237 1.675 11.273
Sn -3.419 4.162 9.133
Sn -5.649 -1.809 4.194
Sn -5.038 -1.412 9.676
Sn -2.411 -1.546 3.186
```


(7)
VASP calculation (PBE) on a relaxed structure of LiLuPaRu. Values from VASP.

Values from the calculation:
- Formation energy: -49 kJ/mol of formula units
- Calculated volume: 81 Å³ per cell
- DOS at the Fermi energy: 4.5 states/eV per cell
- Raw total energy: -25.7 eV per cell

Geometry as Quantum ESPRESSO input:
```
&SYSTEM
  ibrav = 0, nat = 4, ntyp = 4
/
ATOMIC_SPECIES
Ru 101.07 Ru.upf
Pa 231.04 Pa.upf
Lu 174.97 Lu.upf
Li 6.94 Li.upf
CELL_PARAMETERS angstrom
-1.974 3.781 2.316
-4.089 2.007 -1.676
-4.155 -0.553 2.447
ATOMIC_POSITIONS angstrom
Ru -7.663 3.927 2.315
Pa 0.000 0.000 0.000
Lu -5.109 2.618 1.543
Li -2.554 1.309 0.772
```


(8)
VASP calculation (PBE) on a relaxed structure of MgFe2PtN. Values from VASP.

Values from the calculation:
- Calculated volume: 91 Å³ per cell
- DOS at the Fermi energy: 5.7 states/eV per cell
- Formation energy from raw total energies: 0.989 eV per atom
- Raw total energy: -27.9 eV per cell

Geometry as Quantum ESPRESSO input:
```
&SYSTEM
  ibrav = 0, nat = 5, ntyp = 4
/
ATOMIC_SPECIES
Mg 24.30 Mg.upf
Fe 55.84 Fe.upf
Pt 195.08 Pt.upf
N 14.01 N.upf
CELL_PARAMETERS angstrom
4.959 0.000 0.000
0.000 3.700 0.000
0.000 0.000 4.959
ATOMIC_POSITIONS angstrom
Mg 2.479 1.850 2.479
Fe 0.000 0.000 2.479
Fe 2.479 0.000 0.000
Pt 0.000 0.000 0.000
N 0.000 1.850 0.000
```


(9)
VASP calculation (PBE) on a relaxed structure of Tm5TlSi2. Values from VASP.

Values from the calculation:
- Calculated volume: 396 Å³ per cell
- DOS at the Fermi energy: 10.1 states/eV per cell
- Formation energy from raw total energies: -0.576 eV per atom
- Raw total energy: -80.4 eV per cell

Geometry as Quantum ESPRESSO input:
```
&SYSTEM
  ibrav = 0, nat = 16, ntyp = 3
/
ATOMIC_SPECIES
Tm 168.93 Tm.upf
Tl 204.38 Tl.upf
Si 28.09 Si.upf
CELL_PARAMETERS angstrom
6.900 0.000 -3.257
-1.538 6.727 -3.257
-0.121 -0.151 8.682
ATOMIC_POSITIONS angstrom
Tm 2.448 4.585 2.281
Tm 3.999 6.531 -3.371
Tm 0.000 0.000 0.000
Tm 2.681 3.363 -3.257
Tm 1.243 0.045 5.538
Tm 4.424 1.222 3.340
Tm -0.733 3.408 4.479
Tm 0.818 5.354 -1.172
Tm 5.975 3.167 -2.312
Tm 2.794 1.991 -0.113
Tl 3.962 4.970 -0.545
Tl 1.280 1.606 2.712
Si 0.384 2.445 -1.629
Si 4.183 0.919 -2.519
Si 1.180 5.808 -3.996
Si 4.979 4.282 -4.886
```


(10)
VASP calculation (PBE) on a relaxed structure of HfFeH2. Values from VASP.

Values from the calculation:
- Calculated volume: 36 Å³ per cell
- DOS at the Fermi energy: 4.4 states/eV per cell
- Raw total energy: -24.3 eV per cell

Geometry as Quantum ESPRESSO input:
```
&SYSTEM
  ibrav = 0, nat = 4, ntyp = 3
/
ATOMIC_SPECIES
H 1.01 H.upf
Hf 178.49 Hf.upf
Fe 55.84 Fe.upf
CELL_PARAMETERS angstrom
0.000 2.619 2.619
2.619 0.000 2.619
2.619 2.619 0.000
ATOMIC_POSITIONS angstrom
H 1.310 1.310 1.310
H 3.929 3.929 3.929
Hf 2.619 2.619 2.619
Fe 0.000 0.000 0.000
```


(11)
VASP calculation (PBE) on a relaxed structure of CaMnZn2. Values from VASP.

Values from the calculation:
- Formation energy: 17 kJ/mol of formula units
- Calculated volume: 76 Å³ per cell
- DOS at the Fermi energy: 2.8 states/eV per cell
- Raw total energy: -13.5 eV per cell

Geometry as Quantum ESPRESSO input:
```
&SYSTEM
  ibrav = 0, nat = 4, ntyp = 3
/
ATOMIC_SPECIES
Zn 65.41 Zn.upf
Mn 54.94 Mn.upf
Ca 40.08 Ca.upf
CELL_PARAMETERS angstrom
3.847 2.783 0.236
0.204 3.507 3.203
2.954 -0.338 3.709
ATOMIC_POSITIONS angstrom
Zn 1.751 1.488 1.787
Zn 5.254 4.464 5.361
Mn 3.503 2.976 3.574
Ca 0.000 0.000 0.000
```


(12)
VASP calculation (PBE) on a relaxed structure of RbNdMg2Br8. Values from VASP.

Values from the calculation:
- Calculated volume: 449 Å³ per cell
- DOS at the Fermi energy: 0.0 states/eV per cell
- Formation energy from raw total energies: -1.599 eV per atom
- Raw total energy: -41.5 eV per cell

Geometry as Quantum ESPRESSO input:
```
&SYSTEM
  ibrav = 0, nat = 12, ntyp = 4
/
ATOMIC_SPECIES
Rb 85.47 Rb.upf
Nd 144.24 Nd.upf
Mg 24.30 Mg.upf
Br 79.90 Br.upf
CELL_PARAMETERS angstrom
-0.585 -6.902 -1.096
3.880 -1.067 -5.786
8.468 -3.370 3.470
ATOMIC_POSITIONS angstrom
Rb 4.234 -1.685 1.735
Nd 0.000 0.000 0.000
Mg 7.468 -6.049 -0.652
Mg 4.295 -5.291 -2.761
Br 4.652 -2.804 -3.540
Br 2.952 -5.837 -4.978
Br 2.235 -6.203 -1.363
Br 7.112 -8.536 0.127
Br 8.812 -5.504 1.565
Br 9.529 -5.138 -2.050
Br 6.386 -6.732 -3.058
Br 5.378 -4.608 -0.355
```